TlInRe2 | PBE-GGA | relaxed

Cell lengths 2.9415, 2.9415, 9.5424 Å; angles 90.00, 90.00, 117.18 degrees
With the nearest neighbours (Å) after each atom.
Atoms (fractional coordinates):
Tl  0.0000  0.0000  0.0000  4 Re 2.88, 6 Tl 2.94-3.07
In  0.0000  0.0000  0.5000  4 Re 2.79, 6 In 2.94-3.07
Re  0.5000  0.5000  0.2553  2 In 2.79, 2 Tl 2.88, 6 Re 2.94-3.07
Re  0.5000  0.5000  0.7447  2 In 2.79, 2 Tl 2.88, 6 Re 2.94-3.07

Output
- ΔE to the lowest computed polymorph: 65.01 kJ per mole of atoms
- Magnetic moment: 0.0 μB/f.u.
- Formation energy from the elements: 1020 meV per atom
- Density: 15637 kg/m³